! ThPbS, optimized geometry, DFT PBE; values from VASP
! - Energy relative to the elements, uncorrected: -918 meV per atom
! - SG: No. 107
&SYSTEM
  ibrav = 0, nat = 3, ntyp = 3
/
ATOMIC_SPECIES
Pb 207.20 Pb.upf
S 32.06 S.upf
Th 232.04 Th.upf
ATOMIC_POSITIONS crystal
Pb 0.000 0.000 0.000
S 0.291 0.291 0.582
Th 0.709 0.709 0.419
CELL_PARAMETERS angstrom
3.729 0.000 0.000
0.000 3.729 0.000
-1.864 -1.864 6.113